Below is a geometry-optimized MgAgAsPd structure, with properties calculated at the GGA-PBE level.

a b c (Å): 4.593 4.593 4.593
angles (deg): 60.00 60.00 60.00
Fractional coordinates of all 4 atoms:
As 0.500 0.500 0.500
Mg 0.000 0.000 0.000
Ag 0.250 0.250 0.250
Pd 0.750 0.750 0.750

Computed properties:
**Spin magnetization**: 0.000 μB per atom
**Energy relative to the elements**: -0.2594 eV per atom


Below is a geometry-optimized CaZr2BeN4 structure, with properties calculated at the GGA-PBE level.

a b c (Å): 3.250 5.680 10.877
angles (deg): 90.00 90.00 106.62
Fractional coordinates of all 16 atoms:
Be 0.173 0.346 0.250
Be 0.827 0.654 0.750
Zr 0.634 0.268 0.445
Zr 0.366 0.732 0.945
Zr 0.634 0.268 0.055
Zr 0.366 0.732 0.555
N 0.581 0.162 0.250
N 0.259 0.519 0.382
N 0.741 0.481 0.882
N 0.741 0.481 0.618
N 0.259 0.519 0.118
N 0.000 0.000 0.000
N 0.419 0.838 0.750
N 0.000 0.000 0.500
Ca 0.099 0.198 0.750
Ca 0.901 0.802 0.250

Computed properties:
**Spin magnetization**: 0.000 μB per atom


Below is a geometry-optimized La3TbCd structure, with properties calculated at the GGA-PBE level.

a b c (Å): 3.774 9.123 10.009
angles (deg): 76.71 100.87 90.00
Fractional coordinates of all 10 atoms:
La 0.189 0.629 0.378
La 0.597 0.968 0.193
La 0.811 0.371 0.622
La 0.006 0.712 0.011
La 0.994 0.288 0.989
La 0.403 0.032 0.807
Cd 0.390 0.586 0.780
Cd 0.610 0.414 0.220
Tb 0.205 0.161 0.410
Tb 0.795 0.839 0.590

Computed properties:
**E above lowest polymorph**: 0.00 eV/f.u.
**Spin magnetization**: 0.000 μB per atom
**Energy relative to the elements**: -0.1133 eV per atom


Computed E, in the same sequence as the records: -3.831, -8.457, -4.179 eV per atom.
Computed density, in the same sequence as the records: 7.60, 4.96, 6.94 g/cm³.
Computed V, in the same sequence as the records: 68.5, 96.2, 164.5 Å³/f.u..